(1)
# SnPd2Cl

SnPd2Cl after structural relaxation (PBE, Alexandria).

Cell and atoms, written as extended XYZ:
```
4
Lattice="0.2872 -3.9846 -2.4674 -3.7703 -2.7632 -0.4444 -2.1744 -0.3557 -4.1465" Properties=species:S:1:pos:R:3 pbc="T T T"
Sn -2.8288 -3.5518 -3.5292
Pd -1.4144 -1.7759 -1.7646
Pd -4.2431 -5.3276 -5.2937
Cl 0.0000 0.0000 0.0000
```

Output
Electronic total energy   -4.236 eV per atom
Symmetry   Fm-3m (225)
Total magnetic moment   0.0 μB/cell
Raw formation energy   -17.1 kJ/mol of atoms
Polymorph energy (0 for the lowest one)   0.00 eV per formula unit
Fermi-level density of states   1.4 states/eV/f.u.

***

(2)
# Hf2Zn3Cu

Hf2Zn3Cu after structural relaxation (PBE, Alexandria).

Cell and atoms, written as extended XYZ:
```
12
Lattice="5.1819 -0.0237 -1.1629 -2.0579 4.7558 -1.1629 0.0015 0.0023 8.0818" Properties=species:S:1:pos:R:3 pbc="T T T"
Hf -0.2472 3.5621 2.8780
Hf 2.3325 3.5332 -1.7365
Hf 3.3727 1.1723 2.8780
Hf 0.7915 1.1989 -0.5893
Zn 3.1005 0.7838 5.7594
Zn 3.6230 1.5753 -0.0033
Zn 0.0250 3.9506 -0.0033
Zn -0.4975 3.1591 5.7594
Zn 2.6010 3.9399 3.4349
Zn 0.5245 0.7945 2.3211
Cu 1.0426 1.5792 4.6136
Cu 2.0830 3.1552 1.1425
```

Output
Electronic total energy   -4.828 eV per atom
Symmetry   Fmmm (69)
Calculated formation energy   -0.19 eV per atom
Total magnetic moment   0.0 μB/cell
Polymorph energy (0 for the lowest one)   0.05 eV per formula unit
Fermi-level density of states   5.0 states/eV/f.u.

***

(3)
# PrSm2Er5Tm

PrSm2Er5Tm after structural relaxation (PBE, Alexandria).

Cell and atoms, written as extended XYZ:
```
18
Lattice="8.7661 0.0000 0.0000 0.0000 8.7661 0.0000 -4.3830 -4.3830 7.5535" Properties=species:S:1:pos:R:3 pbc="T T T"
Pr 0.0000 0.0000 3.7768
Pr 4.3830 4.3830 3.7768
Sm 1.0102 3.3729 0.0000
Sm 5.3932 1.0102 0.0000
Sm 3.3729 7.7559 0.0000
Sm 7.7559 5.3932 0.0000
Er 6.9383 2.5553 2.0507
Er 2.5553 -1.8278 5.5028
Er -2.5553 1.8278 5.5028
Er -1.8278 -2.5553 5.5028
Er 1.8278 2.5553 5.5028
Er 6.2108 6.9383 2.0507
Er 2.5553 1.8278 2.0507
Er 1.8278 6.2108 2.0507
Er 4.3830 4.3830 0.0000
Er 0.0000 0.0000 0.0000
Tm 0.0000 4.3830 3.7768
Tm 4.3830 0.0000 3.7768
```

Output
Electronic total energy   -4.338 eV per atom
Symmetry   I4/mcm (140)
Calculated formation energy   0.27 eV per atom
Total magnetic moment   0.0 μB/cell
Fermi-level density of states   10.3 states/eV/f.u.